1.
# Ac2ZnRh3

Ac2ZnRh3 after structural relaxation (GGA-PBE, Alexandria via LeMat-Bulk).

POSCAR file:
```
Ac2ZnRh3
1.0
0.0000 4.4219 7.6145
4.1860 0.0000 7.6145
4.1860 4.4219 0.0000
Ac Zn Rh
4 2 6
direct
0.2470 0.7530 0.7530
0.2500 0.2500 0.2500
0.7500 0.7500 0.7500
0.7530 0.2470 0.2470
0.3334 0.3334 0.6666
0.6666 0.6666 0.3334
0.1707 0.1707 0.8293
0.1714 0.6567 0.3433
0.3433 0.8286 0.1714
0.6567 0.1714 0.8286
0.8286 0.3433 0.6567
0.8293 0.8293 0.1707
```

For the energy above the lowest structure with this stoichiometry, the calculation gives 0.0248 eV per atom. The calculation puts the formation energy from the elements at -0.53 eV/atom. The symmetry is No. 69.

***

2.
# Pr2CdH2

Pr2CdH2 after structural relaxation (GGA-PBE, Alexandria via LeMat-Bulk).

POSCAR file:
```
Pr2CdH2
1.0
3.9996 0.0000 0.0000
0.0000 3.9996 0.0000
0.0000 0.0000 12.6544
Pr Cd H
4 2 4
direct
0.0000 0.0000 0.1492
0.0000 0.0000 0.8508
0.5000 0.5000 0.3508
0.5000 0.5000 0.6492
0.0000 0.0000 0.5000
0.5000 0.5000 0.0000
0.0000 0.5000 0.2500
0.0000 0.5000 0.7500
0.5000 0.0000 0.2500
0.5000 0.0000 0.7500
```

The symmetry is No. 139.

***

3.
# BaZn2B2O6

BaZn2B2O6 after structural relaxation (GGA-PBE, Alexandria via LeMat-Bulk).

POSCAR file:
```
BaZn2B2O6
1.0
5.0471 0.0000 0.0000
2.4719 4.6017 0.0000
2.0258 -0.5819 6.6487
Ba Zn B O
1 2 2 6
direct
0.0000 0.0000 0.0000
0.4366 0.3080 0.6422
0.5634 0.6920 0.3578
0.2596 0.3180 0.2785
0.7404 0.6820 0.7215
0.0178 0.5543 0.2308
0.3122 0.0375 0.2472
0.4861 0.3497 0.3417
0.5139 0.6503 0.6583
0.6878 0.9625 0.7528
0.9822 0.4457 0.7692
```

For the energy above the lowest structure with this stoichiometry, the calculation gives 0.0204 eV per atom. The uncorrected formation energy comes out at -2204 meV per atom. The symmetry is No. 2.

***

4.
# FeC4

FeC4 after structural relaxation (GGA-PBE, Alexandria via LeMat-Bulk).

POSCAR file:
```
FeC4
1.0
2.5805 0.0000 0.0000
-1.2902 2.2348 0.0000
0.0000 0.0000 5.9794
Fe C
1 4
direct
0.0000 0.0000 0.0000
0.3333 0.6667 0.2077
0.3333 0.6667 0.4551
0.6667 0.3333 0.5449
0.6667 0.3333 0.7923
```

For the energy above the lowest structure with this stoichiometry, the calculation gives 0.0000 eV per atom. The calculation puts the formation energy from the elements at 0.54 eV/atom. The symmetry is No. 164.

***

| no. | electronic total energy (eV per atom) | theoretical density (g/cm³) |
| --- | --- | --- |
| 1 | -5.788 | 9.756 |
| 2 | -3.941 | 6.501 |
| 3 | -6.529 | 4.148 |
| 4 | -8.533 | 5.003 |